[1]
Below is a relaxed Y6SbAs2Se3 crystal, with properties calculated at the PBE-GGA level.

Lattice parameters (Å, degrees): 9.2960 9.2960 8.3221 102.78 102.78 25.81
Fractional coordinates of all 12 atoms:
Y  0.0046  0.0046  0.2615
Y  0.3294  0.3294  0.4230
Y  0.3288  0.3288  0.9024
Y  0.6712  0.6712  0.0976
Y  0.6706  0.6706  0.5770
Y  0.9954  0.9954  0.7385
Sb  0.5000  0.5000  0.0000
As  0.1673  0.1673  0.3349
As  0.8327  0.8327  0.6651
Se  0.1645  0.1645  0.8332
Se  0.5000  0.5000  0.5000
Se  0.8355  0.8355  0.1668

The raw formation energy is -1.6322 eV/atom. The density of states at the Fermi level comes out at 4.59 states/eV/cell.

[2]
Below is a relaxed Hg2PCl crystal, with properties calculated at the PBE-GGA level.

Lattice parameters (Å, degrees): 3.7490 3.7490 7.7977 90.00 90.00 116.41
Fractional coordinates of all 4 atoms:
Hg  0.0000  0.0000  0.2270
Hg  0.0000  0.0000  0.7730
P  0.5000  0.5000  0.0000
Cl  0.5000  0.5000  0.5000

The raw formation energy is 0.1778 eV/atom. The density of states at the Fermi level comes out at 1.86 states/eV/cell. The polymorph energy (0 for the lowest one) comes out at 1.74 eV per formula unit.

[3]
Below is a relaxed Sm4Si2Hg crystal, with properties calculated at the PBE-GGA level.

Lattice parameters (Å, degrees): 11.8543 11.8543 11.8543 21.94 21.94 21.94
Fractional coordinates of all 7 atoms:
Sm  0.1117  0.1117  0.1117
Sm  0.3010  0.3010  0.3010
Sm  0.6990  0.6990  0.6990
Sm  0.8883  0.8883  0.8883
Si  0.4011  0.4011  0.4011
Si  0.5989  0.5989  0.5989
Hg  0.5000  0.5000  0.5000

The raw formation energy is -0.4282 eV/atom. The density of states at the Fermi level comes out at 6.88 states/eV/cell.

[4]
Below is a relaxed SrFeSe2 crystal, with properties calculated at the PBE-GGA level.

Lattice parameters (Å, degrees): 4.1263 4.1263 6.2288 90.00 90.00 90.00
Fractional coordinates of all 4 atoms:
Sr  0.0000  0.0000  0.0000
Fe  0.5000  0.5000  0.5443
Se  0.0000  0.0000  0.4895
Se  0.5000  0.5000  0.9345

The raw formation energy is -0.7252 eV/atom. The density of states at the Fermi level comes out at 4.59 states/eV/cell. The polymorph energy (0 for the lowest one) comes out at 0.54 eV per formula unit.

[5]
Below is a relaxed MnCdSe crystal, with properties calculated at the PBE-GGA level.

Lattice parameters (Å, degrees): 3.7926 3.7926 5.5100 90.00 90.00 120.00
Fractional coordinates of all 3 atoms:
Mn  0.0000  0.0000  0.0000
Cd  0.3333  0.6667  0.6291
Se  0.6667  0.3333  0.2411

The raw formation energy is -0.0508 eV/atom. The density of states at the Fermi level comes out at 1.52 states/eV/cell. The polymorph energy (0 for the lowest one) comes out at 0.00 eV per formula unit.

[6]
Below is a relaxed KCaSeO4 crystal, with properties calculated at the PBE-GGA level.

Lattice parameters (Å, degrees): 6.7594 6.7594 6.7594 122.23 117.60 90.19
Fractional coordinates of all 14 atoms:
K  0.5000  0.0000  0.0000
K  0.5000  0.5000  0.5000
Ca  0.0000  0.0000  0.0000
Ca  0.5000  0.0000  0.5000
Se  0.1305  0.3805  0.7500
Se  0.8695  0.6195  0.2500
O  0.1738  0.7268  0.4469
O  0.2201  0.2732  0.9469
O  0.2276  0.2153  0.4877
O  0.2276  0.7399  0.0123
O  0.7724  0.2601  0.9877
O  0.7724  0.7847  0.5123
O  0.7799  0.7268  0.0531
O  0.8262  0.2732  0.5531

The raw formation energy is -1.4557 eV/atom. The density of states at the Fermi level comes out at 3.57 states/eV/cell.

[7]
Below is a relaxed CaPmTiO4 crystal, with properties calculated at the PBE-GGA level.

Lattice parameters (Å, degrees): 6.6707 6.6707 6.6707 146.14 146.14 48.64
Fractional coordinates of all 7 atoms:
Ca  0.0000  0.0000  0.0000
Pm  0.2869  0.2869  0.0000
Ti  0.6415  0.6415  0.0000
O  0.1477  0.6477  0.5000
O  0.4711  0.4711  0.0000
O  0.6477  0.1477  0.5000
O  0.8160  0.8160  0.0000

The raw formation energy is -3.0330 eV/atom. The density of states at the Fermi level comes out at 3.01 states/eV/cell.

[8]
Below is a relaxed CoAgTeN2 crystal, with properties calculated at the PBE-GGA level.

Lattice parameters (Å, degrees): 3.9748 3.9748 6.8855 90.00 90.00 90.00
Fractional coordinates of all 5 atoms:
Co  0.0000  0.0000  0.0000
Ag  0.5000  0.5000  0.5000
Te  0.5000  0.5000  0.0000
N  0.0000  0.5000  0.5000
N  0.5000  0.0000  0.5000

The raw formation energy is 2.0077 eV/atom. The density of states at the Fermi level comes out at 5.34 states/eV/cell. The polymorph energy (0 for the lowest one) comes out at 4.67 eV per formula unit.

[9]
Below is a relaxed KGaAs2Br crystal, with properties calculated at the PBE-GGA level.

Lattice parameters (Å, degrees): 6.2850 6.2850 5.9691 90.00 90.00 90.00
Fractional coordinates of all 5 atoms:
K  0.0000  0.0000  0.0000
Ga  0.5000  0.5000  0.5000
As  0.0000  0.5000  0.0000
As  0.5000  0.0000  0.0000
Br  0.0000  0.0000  0.5000

The raw formation energy is 0.8027 eV/atom. The density of states at the Fermi level comes out at 2.41 states/eV/cell. The polymorph energy (0 for the lowest one) comes out at 4.62 eV per formula unit.

[10]
Below is a relaxed PmPr2Th2 crystal, with properties calculated at the PBE-GGA level.

Lattice parameters (Å, degrees): 8.6782 8.6782 8.6782 148.08 148.08 45.77
Fractional coordinates of all 5 atoms:
Pm  0.0000  0.0000  0.0000
Pr  0.4022  0.4022  0.0000
Pr  0.5978  0.5978  0.0000
Th  0.2500  0.7500  0.5000
Th  0.7500  0.2500  0.5000

The density of states at the Fermi level comes out at 8.19 states/eV/cell. The polymorph energy (0 for the lowest one) comes out at 1.74 eV per formula unit.

[11]
Below is a relaxed AlFeTc3 crystal, with properties calculated at the PBE-GGA level.

Lattice parameters (Å, degrees): 4.3650 4.3650 4.3650 90.00 90.00 90.00
Fractional coordinates of all 5 atoms:
Al  0.0000  0.0000  0.0000
Fe  0.5000  0.5000  0.5000
Tc  0.0000  0.0000  0.5000
Tc  0.0000  0.5000  0.0000
Tc  0.5000  0.0000  0.0000

The density of states at the Fermi level comes out at 8.48 states/eV/cell. The polymorph energy (0 for the lowest one) comes out at 3.15 eV per formula unit.

[12]
Below is a relaxed MgZr2Se crystal, with properties calculated at the PBE-GGA level.

Lattice parameters (Å, degrees): 10.8856 10.8856 10.8856 158.18 158.18 31.05
Fractional coordinates of all 8 atoms:
Mg  0.0000  0.0000  0.0000
Mg  0.7500  0.2500  0.5000
Zr  0.1363  0.6250  0.0113
Zr  0.3750  0.3863  0.5113
Zr  0.6137  0.1250  0.9887
Zr  0.8750  0.8637  0.4887
Se  0.2500  0.7500  0.5000
Se  0.5000  0.5000  0.0000

The raw formation energy is -0.0544 eV/atom. The density of states at the Fermi level comes out at 5.68 states/eV/cell. The polymorph energy (0 for the lowest one) comes out at 1.68 eV per formula unit.

[13]
Below is a relaxed SnHg2ICl crystal, with properties calculated at the PBE-GGA level.

Lattice parameters (Å, degrees): 5.7312 5.7312 5.2006 90.00 90.00 90.00
Fractional coordinates of all 5 atoms:
Sn  0.0000  0.0000  0.0000
Hg  0.0000  0.5000  0.0000
Hg  0.5000  0.0000  0.0000
I  0.5000  0.5000  0.5000
Cl  0.0000  0.0000  0.5000

The raw formation energy is -0.2549 eV/atom. The density of states at the Fermi level comes out at 1.89 states/eV/cell.

[14]
Below is a relaxed Tl4CdHg5 crystal, with properties calculated at the PBE-GGA level.

Lattice parameters (Å, degrees): 8.5291 8.5291 4.4994 105.19 105.19 78.58
Fractional coordinates of all 10 atoms:
Tl  0.2036  0.7964  0.0000
Tl  0.2466  0.2466  0.7476
Tl  0.7534  0.7534  0.2524
Tl  0.7964  0.2036  0.0000
Cd  0.5000  0.5000  0.0000
Hg  0.0000  0.0000  0.5000
Hg  0.1470  0.5206  0.3343
Hg  0.4794  0.8530  0.6657
Hg  0.5206  0.1470  0.3343
Hg  0.8530  0.4794  0.6657

The density of states at the Fermi level comes out at 4.73 states/eV/cell. The polymorph energy (0 for the lowest one) comes out at 0.49 eV per formula unit.

[15]
Below is a relaxed KCeBr2 crystal, with properties calculated at the PBE-GGA level.

Lattice parameters (Å, degrees): 10.9709 10.9709 10.9709 21.11 21.11 21.11
Fractional coordinates of all 4 atoms:
K  0.0000  0.0000  0.0000
Ce  0.5000  0.5000  0.5000
Br  0.1042  0.1042  0.1042
Br  0.8958  0.8958  0.8958

The raw formation energy is -1.2083 eV/atom. The density of states at the Fermi level comes out at 6.27 states/eV/cell.

[16]
Below is a relaxed KRb crystal, with properties calculated at the PBE-GGA level.

Lattice parameters (Å, degrees): 11.8854 11.8854 11.8854 109.47 109.47 109.47
Fractional coordinates of all 8 atoms:
K  0.0000  0.0000  0.7691
K  0.0000  0.7691  0.0000
K  0.2309  0.2309  0.2309
K  0.7691  0.0000  0.0000
Rb  0.0000  0.0000  0.4002
Rb  0.0000  0.4002  0.0000
Rb  0.4002  0.0000  0.0000
Rb  0.5998  0.5998  0.5998

The density of states at the Fermi level comes out at 5.11 states/eV/cell. The polymorph energy (0 for the lowest one) comes out at 0.49 eV per formula unit.

[17]
Below is a relaxed LaBSN2 crystal, with properties calculated at the PBE-GGA level.

Lattice parameters (Å, degrees): 3.8823 3.8823 4.0845 90.00 90.00 90.00
Fractional coordinates of all 5 atoms:
La  0.0000  0.0000  0.0000
B  0.5000  0.5000  0.5000
S  0.5000  0.5000  0.0000
N  0.0000  0.5000  0.5000
N  0.5000  0.0000  0.5000

The raw formation energy is 0.2975 eV/atom. The density of states at the Fermi level comes out at 3.89 states/eV/cell. The polymorph energy (0 for the lowest one) comes out at 0.00 eV per formula unit.

[18]
Below is a relaxed BaYb6 crystal, with properties calculated at the PBE-GGA level.

Lattice parameters (Å, degrees): 8.0585 8.0585 8.0585 109.47 109.47 109.47
Fractional coordinates of all 7 atoms:
Ba  0.0000  0.0000  0.0000
Yb  0.2500  0.5000  0.7500
Yb  0.2500  0.7500  0.5000
Yb  0.5000  0.2500  0.7500
Yb  0.5000  0.7500  0.2500
Yb  0.7500  0.2500  0.5000
Yb  0.7500  0.5000  0.2500

For the final energy, the calculation gives -5.763 eV per cell. The density of states at the Fermi level comes out at 86.84 states/eV/cell.

[19]
Below is a relaxed BTeIN2 crystal, with properties calculated at the PBE-GGA level.

Lattice parameters (Å, degrees): 4.0550 4.0550 5.0841 90.00 90.00 90.00
Fractional coordinates of all 5 atoms:
B  0.0000  0.0000  0.0000
Te  0.0000  0.0000  0.5000
I  0.5000  0.5000  0.5000
N  0.0000  0.5000  0.0000
N  0.5000  0.0000  0.0000

The raw formation energy is 2.0652 eV/atom. The density of states at the Fermi level comes out at 1.48 states/eV/cell. The polymorph energy (0 for the lowest one) comes out at 0.29 eV per formula unit.

[20]
Below is a relaxed YMg2PaS6 crystal, with properties calculated at the PBE-GGA level.

Lattice parameters (Å, degrees): 7.1740 7.1740 7.1740 55.36 55.36 55.36
Fractional coordinates of all 10 atoms:
Y  0.0000  0.0000  0.0000
Mg  0.3003  0.3003  0.3003
Mg  0.8054  0.8054  0.8054
Pa  0.4946  0.4946  0.4946
S  0.0869  0.4204  0.6948
S  0.2102  0.9050  0.5844
S  0.4204  0.6948  0.0869
S  0.5844  0.2102  0.9050
S  0.6948  0.0869  0.4204
S  0.9050  0.5844  0.2102

The raw formation energy is -1.5903 eV/atom. The density of states at the Fermi level comes out at 0.00 states/eV/cell.